Entry 1:
PBE-GGA V3SiS, relaxed; energy above the most stable polymorph in this dataset = 0 meV per atom; space-group type = Pm-3m; formation energy without anion corrections = 0.111 eV per atom
1.0
-1.2064 -3.6641 -1.7583
2.6479 -2.1000 2.5596
-3.0832 -0.3698 2.8861
S Si V
1 1 3
direct
0.0000 0.0000 0.0000
0.5000 0.5000 0.5000
0.0000 0.5000 0.0000
0.0000 0.0000 0.5000
0.5000 0.0000 0.0000


Entry 2:
PBE-GGA VSi3S, relaxed; energy above the most stable polymorph in this dataset = 239 meV per atom; space-group type = Pm-3m; formation energy without anion corrections = 0.981 eV per atom
1.0
4.4762 0.0000 0.0000
0.0000 4.4762 0.0000
0.0000 0.0000 4.4762
S Si V
1 3 1
direct
0.0000 0.0000 0.0000
0.0000 0.5000 0.0000
0.0000 0.0000 0.5000
0.5000 0.0000 0.0000
0.5000 0.5000 0.5000